Entry 1:
A relaxed AgPt crystal, computed with PBE-GGA.

Summary:
- crystal system = orthorhombic
- N(E_F) (states/eV/atom) = 0.44
- formation energy from the elements (kcal/mol of atoms) = 2.814
- calculated density (g cm⁻³) = 14.3
- E (eV per atom) = -4.324

abc: 6.6775 8.3860 5.0201
angles: 90.00 90.00 90.00
Last column: nearest neighbours and their distance in Å.
Space group C222_1 (No. 20)
Inequivalent atoms, fractional coordinates:
Ag  0.1826  0.1922  0.4895 [8 per cell]  6 Pt 2.71-3.04, 2 Ag 2.84
Pt  0.0000  0.4723  0.2500 [4 per cell]  4 Pt 2.55-2.70, 2 Ag 2.85
Pt  0.1443  0.0000  0.0000 [4 per cell]  2 Pt 2.70, 6 Ag 2.71-2.95

Entry 2:
A relaxed Ag2Pt3 crystal, computed with PBE-GGA.

Summary:
- crystal system = monoclinic
- N(E_F) (states/eV/atom) = 0.74
- formation energy from the elements (kcal/mol of atoms) = 0.461
- distance to the lowest polymorph of the same formula (meV/atom) = 60
- calculated density (g cm⁻³) = 16.3
- E (eV per atom) = -4.745

abc: 5.0261 2.7877 11.8761
angles: 90.00 100.40 90.00
Last column: nearest neighbours and their distance in Å.
Space group P2_1/m (No. 11)
Inequivalent atoms, fractional coordinates:
Ag  0.0301  0.2500  0.3982 [2 per cell]  5 Ag 2.75-2.85, 7 Pt 2.84-2.96
Ag  0.3504  0.7500  0.7996 [2 per cell]  3 Ag 2.75-2.79, 9 Pt 2.84-2.93
Pt  0.1543  0.7500  0.1975 [2 per cell]  6 Pt 2.77-2.84, 6 Ag 2.85-2.92
Pt  0.2450  0.2500  0.9995 [2 per cell]  9 Pt 2.79-2.92, 3 Ag 2.84-2.88
Pt  0.4766  0.2500  0.5983 [2 per cell]  5 Pt 2.77-2.79, 7 Ag 2.84-2.96

Entry 3:
A relaxed AgPt crystal, computed with PBE-GGA.

Summary:
- crystal system = hexagonal
- N(E_F) (states/eV/atom) = 1.04
- formation energy from the elements (kcal/mol of atoms) = 6.572
- calculated density (g cm⁻³) = 14.1
- E (eV per atom) = -4.161

abc: 4.5373 4.5373 8.0042
angles: 90.00 90.00 120.00
Last column: nearest neighbours and their distance in Å.
Space group P6_3/mmc (No. 194)
Inequivalent atoms, fractional coordinates:
Ag  0.0000  0.0000  0.2500 [2 per cell]  3 Ag 2.62
Ag  0.3333  0.6667  0.2500 [2 per cell]  3 Ag 2.62, 2 Pt 2.66
Pt  0.3333  0.6667  0.5829 [4 per cell]  7 Ag 2.66-2.94, 4 Pt 2.68-2.94

Entry 4:
A relaxed Ag5Pt crystal, computed with PBE-GGA.

Summary:
- crystal system = tetragonal
- N(E_F) (states/eV/atom) = 0.12
- formation energy from the elements (kcal/mol of atoms) = 0.339
- distance to the lowest polymorph of the same formula (meV/atom) = 0
- calculated density (g cm⁻³) = 11.7
- E (eV per atom) = -3.368

abc: 2.8872 2.8872 12.5132
angles: 90.00 90.00 90.00
Last column: nearest neighbours and their distance in Å.
Space group P4/mmm (No. 123)
Inequivalent atoms, fractional coordinates:
Ag  0.0000  0.0000  0.0000 [1 per cell]  12 Ag 2.89-2.95
Ag  0.0000  0.0000  0.3387 [2 per cell]  4 Pt 2.87, 8 Ag 2.89-2.94
Ag  0.5000  0.5000  0.1698 [2 per cell]  12 Ag 2.89-2.95
Pt  0.5000  0.5000  0.5000 [1 per cell]  8 Ag 2.87, 4 Pt 2.89